(1)
Compound: ReBS3
Source: the Alexandria database
Functional: PBE
Structure: optimized geometry

The polymorph energy (0 for the lowest one) comes out at 0.00 kcal/mol of atoms. The volume comes out at 66 Å³ per cell.

Lattice parameters (Å, degrees): 4.0338 4.0338 4.0338 90.00 90.00 90.00
Atoms (fractional coordinates):
Re 0.0000 0.0000 0.0000
B 0.5000 0.5000 0.5000
S 0.0000 0.5000 0.5000
S 0.5000 0.0000 0.5000
S 0.5000 0.5000 0.0000


(2)
Compound: Re3BSb
Source: the Alexandria database
Functional: PBE
Structure: optimized geometry

The polymorph energy (0 for the lowest one) comes out at 70.11 kcal/mol of atoms. The volume comes out at 116 Å³ per cell.

Lattice parameters (Å, degrees): 4.8705 4.8705 4.8705 90.00 90.00 90.00
Atoms (fractional coordinates):
Re 0.0000 0.0000 0.5000
Re 0.0000 0.5000 0.0000
Re 0.5000 0.0000 0.0000
B 0.5000 0.5000 0.5000
Sb 0.0000 0.0000 0.0000


(3)
Compound: ReB2Sb
Source: the Alexandria database
Functional: PBE
Structure: optimized geometry

The volume comes out at 261 Å³ per cell. The total energy comes out at -6.712 eV/atom.

Lattice parameters (Å, degrees): 5.1525 5.1525 9.8329 90.00 90.00 90.00
Atoms (fractional coordinates):
Re 0.0000 0.0000 0.0000
Re 0.0000 0.5000 0.2500
Re 0.5000 0.0000 0.7500
Re 0.5000 0.5000 0.5000
B 0.2051 0.2500 0.1250
B 0.2500 0.7051 0.3750
B 0.2500 0.7949 0.8750
B 0.2949 0.2500 0.6250
B 0.7051 0.7500 0.6250
B 0.7500 0.2051 0.8750
B 0.7500 0.2949 0.3750
B 0.7949 0.7500 0.1250
Sb 0.0000 0.0000 0.5000
Sb 0.0000 0.5000 0.7500
Sb 0.5000 0.0000 0.2500
Sb 0.5000 0.5000 0.0000